Zn3CoW, relaxed, DFT GGA-PBE; ΔH_f (0 K) = 560 kJ/mol of formula units; space-group type = Pm-3m, No. 221
1.0
4.333 0.000 0.000
0.000 4.333 0.000
0.000 0.000 4.333
Zn Co W
3 1 1
direct
0.000 0.000 0.500
0.000 0.500 0.000
0.500 0.000 0.000
0.000 0.000 0.000
0.500 0.500 0.500

Rb2AlAgP2, relaxed, DFT GGA-PBE; ΔH_f (0 K) = -235 kJ/mol of formula units; space-group type = Ibam, No. 72
1.0
-3.116 8.135 3.072
3.116 -8.135 3.072
3.116 8.135 -3.072
Rb Al Ag P
4 2 2 4
direct
0.172 0.222 0.394
0.328 0.722 0.049
0.672 0.278 0.951
0.828 0.778 0.606
0.250 0.750 0.500
0.750 0.250 0.500
0.250 0.250 0.000
0.750 0.750 0.000
0.086 0.709 0.795
0.414 0.209 0.622
0.586 0.791 0.378
0.914 0.291 0.205

CaPm2Pd6Pb3, relaxed, DFT GGA-PBE; ΔH_f (0 K) = -652 kJ/mol of formula units; space-group type = P4/mmm, No. 123
1.0
4.150 0.000 0.000
0.000 4.150 0.000
0.000 0.000 16.317
Ca Pm Pd Pb
1 2 6 3
direct
0.000 0.000 0.000
0.000 0.000 0.357
0.000 0.000 0.643
0.000 0.500 0.220
0.000 0.500 0.780
0.500 0.000 0.220
0.500 0.000 0.780
0.500 0.500 0.335
0.500 0.500 0.665
0.500 0.500 0.106
0.500 0.500 0.500
0.500 0.500 0.894

Pm6HoTl, relaxed, DFT GGA-PBE; ΔH_f (0 K) = -66 kJ/mol of formula units; space-group type = P4/mmm, No. 123
1.0
4.995 0.000 0.000
0.000 4.995 0.000
0.000 0.000 10.294
Pm Ho Tl
6 1 1
direct
0.000 0.000 0.000
0.000 0.000 0.500
0.000 0.500 0.245
0.000 0.500 0.755
0.500 0.000 0.245
0.500 0.000 0.755
0.500 0.500 0.500
0.500 0.500 0.000

Ho6Sc12Tl, relaxed, DFT GGA-PBE; ΔH_f (0 K) = 210 kJ/mol of formula units; space-group type = R-3, No. 148
1.0
5.836 3.369 4.338
-5.836 3.369 4.338
0.000 -6.739 4.338
Ho Sc Tl
6 12 1
direct
0.215 0.382 0.764
0.236 0.785 0.618
0.382 0.764 0.215
0.618 0.236 0.785
0.764 0.215 0.382
0.785 0.618 0.236
0.032 0.714 0.965
0.035 0.968 0.286
0.130 0.443 0.359
0.286 0.035 0.968
0.359 0.130 0.443
0.443 0.359 0.130
0.557 0.641 0.870
0.641 0.870 0.557
0.714 0.965 0.032
0.870 0.557 0.641
0.965 0.032 0.714
0.968 0.286 0.035
0.500 0.500 0.500

Hg4PtBr2F, relaxed, DFT GGA-PBE; space-group type = C2/c, No. 15; E = -1.874 eV/atom
1.0
6.290 -5.354 0.000
6.290 5.354 0.000
-5.711 0.000 6.387
Hg Pt Br F
8 2 4 2
direct
0.150 0.214 0.428
0.214 0.150 0.928
0.240 0.750 0.502
0.250 0.760 0.998
0.750 0.240 0.002
0.760 0.250 0.498
0.786 0.850 0.072
0.850 0.786 0.572
0.000 0.000 0.000
0.000 0.000 0.500
0.000 0.500 0.000
0.500 0.000 0.500
0.500 0.500 0.000
0.500 0.500 0.500
0.000 0.500 0.500
0.500 0.000 0.000

Pm2Sm3Ho8, relaxed, DFT GGA-PBE; ΔH_f (0 K) = 312 kJ/mol of formula units; space-group type = Cmmm, No. 65
1.0
3.832 -10.240 0.000
3.832 10.240 0.000
0.000 0.000 5.593
Pm Sm Ho
2 3 8
direct
0.241 0.759 0.000
0.759 0.241 0.000
0.000 0.000 0.000
0.291 0.291 0.500
0.709 0.709 0.500
0.131 0.869 0.500
0.181 0.397 0.000
0.335 0.665 0.500
0.397 0.181 0.000
0.603 0.819 0.000
0.665 0.335 0.500
0.819 0.603 0.000
0.869 0.131 0.500

Pr8GeTe3Se4, relaxed, DFT GGA-PBE; space-group type = R-3m, No. 166; E = -5.740 eV/atom
1.0
4.391 2.535 7.143
-4.391 2.535 7.143
0.000 -5.070 7.143
Pr Ge Te Se
8 1 3 4
direct
0.227 0.757 0.757
0.240 0.240 0.240
0.243 0.243 0.773
0.243 0.773 0.243
0.757 0.227 0.757
0.757 0.757 0.227
0.760 0.760 0.760
0.773 0.243 0.243
0.000 0.000 0.000
0.000 0.500 0.500
0.500 0.000 0.500
0.500 0.500 0.000
0.000 0.000 0.500
0.000 0.500 0.000
0.500 0.000 0.000
0.500 0.500 0.500

SrAgSn3, relaxed, DFT GGA-PBE; ΔH_f (0 K) = -152 kJ/mol of formula units; space-group type = Cmcm, No. 63
1.0
3.573 -5.872 0.000
3.573 5.872 0.000
0.000 0.000 6.891
Sr Ag Sn
2 2 6
direct
0.236 0.764 0.750
0.764 0.236 0.250
0.363 0.637 0.250
0.637 0.363 0.750
0.133 0.867 0.250
0.271 0.271 0.000
0.271 0.271 0.500
0.729 0.729 0.000
0.729 0.729 0.500
0.867 0.133 0.750

Li3Ga3Pd2, relaxed, DFT GGA-PBE; energy relative to the lowest polymorph listed for this composition = 77.3 meV per atom; ΔH_f (0 K) = -373 kJ/mol of formula units; space-group type = P-1, No. 2
1.0
4.265 0.000 0.000
-0.015 4.335 0.000
-2.122 -2.144 6.570
Li Ga Pd
3 3 2
direct
0.000 0.000 0.000
0.372 0.872 0.744
0.628 0.128 0.256
0.142 0.643 0.284
0.500 0.500 0.000
0.858 0.357 0.716
0.244 0.244 0.487
0.756 0.756 0.513

NdSc2Tl2Ag2, relaxed, DFT GGA-PBE; ΔH_f (0 K) = -135 kJ/mol of formula units; space-group type = R-3m, No. 166
1.0
2.395 1.383 8.499
-2.395 1.383 8.499
0.000 -2.765 8.499
Nd Sc Tl Ag
1 2 2 2
direct
0.000 0.000 0.000
0.136 0.136 0.136
0.864 0.864 0.864
0.261 0.261 0.261
0.739 0.739 0.739
0.442 0.442 0.442
0.558 0.558 0.558

PuGeH2Os, relaxed, DFT GGA-PBE; space-group type = Cmcm, No. 63; E = -7.717 eV/atom
1.0
2.004 -5.245 0.000
2.004 5.245 0.000
0.000 0.000 5.848
Pu Ge H Os
2 2 4 2
direct
0.205 0.795 0.750
0.795 0.205 0.250
0.081 0.919 0.250
0.919 0.081 0.750
0.337 0.663 0.063
0.337 0.663 0.437
0.663 0.337 0.563
0.663 0.337 0.937
0.500 0.500 0.000
0.500 0.500 0.500

Number 5 is which compound?
Ho6Sc12Tl

Copy entry 2 word for word.
Rb2AlAgP2, relaxed, DFT GGA-PBE; ΔH_f (0 K) = -235 kJ/mol of formula units; space-group type = Ibam, No. 72
1.0
-3.116 8.135 3.072
3.116 -8.135 3.072
3.116 8.135 -3.072
Rb Al Ag P
4 2 2 4
direct
0.172 0.222 0.394
0.328 0.722 0.049
0.672 0.278 0.951
0.828 0.778 0.606
0.250 0.750 0.500
0.750 0.250 0.500
0.250 0.250 0.000
0.750 0.750 0.000
0.086 0.709 0.795
0.414 0.209 0.622
0.586 0.791 0.378
0.914 0.291 0.205